Version one
# NaGe3As

Crystalline NaGe3As at its relaxed geometry (PBE-GGA, the Alexandria database).

Calculated values
spin magnetization = 0.00 μB per cell

The structure in CIF format:
```
data_NaGe3As
_chemical_formula_sum 'Na1 Ge3 As1'
_cell_length_a 5.154
_cell_length_b 5.154
_cell_length_c 5.154
_cell_angle_alpha 90.00
_cell_angle_beta 90.00
_cell_angle_gamma 90.00
_space_group_name_H-M_alt 'P 1'
_space_group_IT_number 1
_space_group_name_Hall 'P 1'
loop_
_atom_site_label
_atom_site_fract_x
_atom_site_fract_y
_atom_site_fract_z
_atom_site_occupancy
Na1 0.000 0.000 0.000 1
Ge1 0.000 0.500 0.500 1
Ge2 0.500 0.000 0.500 1
Ge3 0.500 0.500 0.000 1
As1 0.500 0.500 0.500 1
```

***

Version two
# NaGe3As

Crystalline NaGe3As at its relaxed geometry (PBE-GGA, the Alexandria database).

Calculated values
spin magnetization = 0.00 μB per cell

The structure in CIF format:
```
data_NaGe3As
_chemical_formula_sum 'Na1 Ge3 As1'
_cell_length_a 5.014
_cell_length_b 5.014
_cell_length_c 5.014
_cell_angle_alpha 90.00
_cell_angle_beta 90.00
_cell_angle_gamma 90.00
_space_group_name_H-M_alt 'P 1'
_space_group_IT_number 1
_space_group_name_Hall 'P 1'
loop_
_atom_site_label
_atom_site_fract_x
_atom_site_fract_y
_atom_site_fract_z
_atom_site_occupancy
Na1 0.000 0.000 0.000 1
Ge1 0.000 0.000 0.500 1
Ge2 0.000 0.500 0.000 1
Ge3 0.500 0.000 0.000 1
As1 0.500 0.500 0.500 1
```

***

Stability check: which of them is least stable? version two.